1.
{"formula": "TaIn2Ir", "functional": "PBE", "state": "relaxed", "cell": [[5.1960, -0.0005, 0.0000], [1.8580, 4.8524, 0.0000], [-3.5270, -2.4260, 2.9450]], "species": ["In", "In", "Ir", "Ta"], "frac_coords": [[0.0000, 0.0000, 0.0000], [0.2500, 0.7500, 0.5000], [0.5000, 0.5000, 0.0000], [0.7500, 0.2500, 0.5000]], "density_g_cm3": 13.48, "de_polymorph_mev_per_atom": 286}

2.
{"formula": "RbTeAu", "functional": "PBE", "state": "relaxed", "cell": [[4.6296, 0.0000, 0.0000], [-2.3148, 6.7475, -1.1294], [0.0000, -0.4683, 7.1537]], "species": ["Rb", "Rb", "Te", "Te", "Au", "Au"], "frac_coords": [[0.8950, 0.7901, 0.1955], [0.1050, 0.2099, 0.8045], [0.3801, 0.7602, 0.7674], [0.6199, 0.2398, 0.2326], [0.7945, 0.5891, 0.6034], [0.2055, 0.4109, 0.3966]], "density_g_cm3": 6.16, "e_form_raw_ev_per_atom": -0.60}

3.
{"formula": "YTlIn2", "functional": "PBE", "state": "relaxed", "cell": [[4.6609, 0.0000, 0.0000], [0.0000, 4.6609, 0.0000], [0.0000, 0.0000, 4.7548]], "species": ["Y", "Tl", "In", "In"], "frac_coords": [[0.0000, 0.5000, 0.5000], [0.5000, 0.0000, 0.5000], [0.0000, 0.0000, 0.0000], [0.5000, 0.5000, 0.0000]], "density_g_cm3": 8.41, "e_tot_ev_per_cell": -15.73}

4.
{"formula": "Ho2SnSb", "functional": "PBE", "state": "relaxed", "cell": [[-3.8967, -1.4532, -0.2359], [-1.4647, -2.5251, 2.9716], [-4.3882, 4.9858, 4.9933]], "species": ["Ho", "Ho", "Sn", "Sb"], "frac_coords": [[0.0781, 0.0781, 0.7658], [0.2551, 0.2551, 0.2348], [0.4989, 0.4989, 0.5032], [0.6679, 0.6679, 0.9962]], "density_g_cm3": 7.92, "e_form_raw_ev_per_atom": -0.72, "de_polymorph_mev_per_atom": 184}

Number 1: size of the total moment 0.000 μB per formula unit. Number 2: size of the total moment 0.000 μB per formula unit. Number 3: size of the total moment 0.000 μB per formula unit. Number 4: size of the total moment 0.000 μB per formula unit.